# 1
LaDy2ThAs4: relaxed, GGA-PBE.

Geometry as CIF:
```
data_LaDy2ThAs4
_symmetry_space_group_name_H-M 'P 1'
_symmetry_Int_Tables_number 1
_symmetry_space_group_name_Hall 'P 1'
_cell_length_a 7.269
_cell_length_b 4.222
_cell_length_c 7.317
_cell_angle_alpha 90.00
_cell_angle_beta 109.51
_cell_angle_gamma 90.00
loop_
_atom_site_label
_atom_site_type_symbol
_atom_site_fract_x
_atom_site_fract_y
_atom_site_fract_z
_atom_site_occupancy
La1 La 0.000 0.000 0.000 1
Dy1 Dy 0.500 0.000 0.500 1
Dy2 Dy 0.500 0.500 0.000 1
Th1 Th 0.000 0.500 0.500 1
As1 As 0.259 0.000 0.749 1
As2 As 0.261 0.500 0.258 1
As3 As 0.739 0.500 0.742 1
As4 As 0.741 0.000 0.251 1
```

- SG = P2/m, No. 10

=====

# 2
LaDy2Th3As6: relaxed, GGA-PBE.

Geometry as CIF:
```
data_LaDy2Th3As6
_symmetry_space_group_name_H-M 'P 1'
_symmetry_Int_Tables_number 1
_symmetry_space_group_name_Hall 'P 1'
_cell_length_a 7.337
_cell_length_b 7.337
_cell_length_c 7.303
_cell_angle_alpha 99.67
_cell_angle_beta 99.67
_cell_angle_gamma 119.93
loop_
_atom_site_label
_atom_site_type_symbol
_atom_site_fract_x
_atom_site_fract_y
_atom_site_fract_z
_atom_site_occupancy
La1 La 0.000 0.000 0.000 1
Dy1 Dy 0.333 0.667 0.000 1
Dy2 Dy 0.667 0.333 0.000 1
Th1 Th 0.165 0.835 0.500 1
Th2 Th 0.500 0.500 0.500 1
Th3 Th 0.835 0.165 0.500 1
As1 As 0.083 0.424 0.248 1
As2 As 0.259 0.259 0.754 1
As3 As 0.424 0.083 0.248 1
As4 As 0.576 0.917 0.752 1
As5 As 0.741 0.741 0.246 1
As6 As 0.917 0.576 0.752 1
```

- SG = C2/m, No. 12

=====

# 3
La3Dy2ThAs6: relaxed, GGA-PBE.

Geometry as CIF:
```
data_La3Dy2ThAs6
_symmetry_space_group_name_H-M 'P 1'
_symmetry_Int_Tables_number 1
_symmetry_space_group_name_Hall 'P 1'
_cell_length_a 7.383
_cell_length_b 7.383
_cell_length_c 7.418
_cell_angle_alpha 99.56
_cell_angle_beta 99.56
_cell_angle_gamma 119.97
loop_
_atom_site_label
_atom_site_type_symbol
_atom_site_fract_x
_atom_site_fract_y
_atom_site_fract_z
_atom_site_occupancy
La1 La 0.000 0.000 0.000 1
La2 La 0.334 0.666 0.000 1
La3 La 0.666 0.334 0.000 1
Dy1 Dy 0.167 0.833 0.500 1
Dy2 Dy 0.833 0.167 0.500 1
Th1 Th 0.500 0.500 0.500 1
As1 As 0.085 0.421 0.262 1
As2 As 0.243 0.243 0.737 1
As3 As 0.421 0.085 0.262 1
As4 As 0.579 0.915 0.738 1
As5 As 0.757 0.757 0.263 1
As6 As 0.915 0.579 0.738 1
```

- SG = C2/m, No. 12

=====

# 4
LaDy3Th2As6: relaxed, GGA-PBE.

Geometry as CIF:
```
data_LaDy3Th2As6
_symmetry_space_group_name_H-M 'P 1'
_symmetry_Int_Tables_number 1
_symmetry_space_group_name_Hall 'P 1'
_cell_length_a 7.306
_cell_length_b 7.306
_cell_length_c 7.248
_cell_angle_alpha 99.65
_cell_angle_beta 99.65
_cell_angle_gamma 120.06
loop_
_atom_site_label
_atom_site_type_symbol
_atom_site_fract_x
_atom_site_fract_y
_atom_site_fract_z
_atom_site_occupancy
La1 La 0.000 0.000 0.000 1
Dy1 Dy 0.165 0.835 0.500 1
Dy2 Dy 0.500 0.500 0.500 1
Dy3 Dy 0.835 0.165 0.500 1
Th1 Th 0.333 0.667 0.000 1
Th2 Th 0.667 0.333 0.000 1
As1 As 0.087 0.424 0.259 1
As2 As 0.252 0.252 0.741 1
As3 As 0.424 0.087 0.259 1
As4 As 0.576 0.913 0.741 1
As5 As 0.748 0.748 0.259 1
As6 As 0.913 0.576 0.741 1
```

- SG = C2/m, No. 12

=====

# 5
La2DyThAs4: relaxed, GGA-PBE.

Geometry as CIF:
```
data_La2DyThAs4
_symmetry_space_group_name_H-M 'P 1'
_symmetry_Int_Tables_number 1
_symmetry_space_group_name_Hall 'P 1'
_cell_length_a 7.387
_cell_length_b 4.280
_cell_length_c 7.437
_cell_angle_alpha 90.00
_cell_angle_beta 109.40
_cell_angle_gamma 90.00
loop_
_atom_site_label
_atom_site_type_symbol
_atom_site_fract_x
_atom_site_fract_y
_atom_site_fract_z
_atom_site_occupancy
La1 La 0.000 0.000 0.000 1
La2 La 0.500 0.500 0.000 1
Dy1 Dy 0.000 0.500 0.500 1
Th1 Th 0.500 0.000 0.500 1
As1 As 0.244 0.000 0.738 1
As2 As 0.251 0.500 0.260 1
As3 As 0.749 0.500 0.740 1
As4 As 0.756 0.000 0.262 1
```

- SG = P2/m, No. 10

=====

# 6
LaDyTm2As4: relaxed, GGA-PBE.

Geometry as CIF:
```
data_LaDyTm2As4
_symmetry_space_group_name_H-M 'P 1'
_symmetry_Int_Tables_number 1
_symmetry_space_group_name_Hall 'P 1'
_cell_length_a 7.196
_cell_length_b 4.162
_cell_length_c 7.202
_cell_angle_alpha 90.00
_cell_angle_beta 109.46
_cell_angle_gamma 90.00
loop_
_atom_site_label
_atom_site_type_symbol
_atom_site_fract_x
_atom_site_fract_y
_atom_site_fract_z
_atom_site_occupancy
La1 La 0.000 0.000 0.000 1
Dy1 Dy 0.000 0.500 0.500 1
Tm1 Tm 0.500 0.000 0.500 1
Tm2 Tm 0.500 0.500 0.000 1
As1 As 0.258 0.000 0.747 1
As2 As 0.263 0.500 0.260 1
As3 As 0.737 0.500 0.740 1
As4 As 0.742 0.000 0.253 1
```

- SG = P2/m, No. 10

=====

# 7
La3Dy2TmAs6: relaxed, GGA-PBE.

Geometry as CIF:
```
data_La3Dy2TmAs6
_symmetry_space_group_name_H-M 'P 1'
_symmetry_Int_Tables_number 1
_symmetry_space_group_name_Hall 'P 1'
_cell_length_a 7.346
_cell_length_b 7.346
_cell_length_c 7.335
_cell_angle_alpha 99.61
_cell_angle_beta 99.61
_cell_angle_gamma 120.00
loop_
_atom_site_label
_atom_site_type_symbol
_atom_site_fract_x
_atom_site_fract_y
_atom_site_fract_z
_atom_site_occupancy
La1 La 0.000 0.000 0.000 1
La2 La 0.333 0.667 0.000 1
La3 La 0.667 0.333 0.000 1
Dy1 Dy 0.166 0.834 0.500 1
Dy2 Dy 0.834 0.166 0.500 1
Tm1 Tm 0.500 0.500 0.500 1
As1 As 0.090 0.422 0.265 1
As2 As 0.247 0.247 0.736 1
As3 As 0.422 0.090 0.265 1
As4 As 0.578 0.910 0.735 1
As5 As 0.753 0.753 0.264 1
As6 As 0.910 0.578 0.735 1
```

- SG = C2/m, No. 12

=====

# 8
La2DyTmAs4: relaxed, GGA-PBE.

Geometry as CIF:
```
data_La2DyTmAs4
_symmetry_space_group_name_H-M 'P 1'
_symmetry_Int_Tables_number 1
_symmetry_space_group_name_Hall 'P 1'
_cell_length_a 7.324
_cell_length_b 4.239
_cell_length_c 7.337
_cell_angle_alpha 90.00
_cell_angle_beta 109.50
_cell_angle_gamma 90.00
loop_
_atom_site_label
_atom_site_type_symbol
_atom_site_fract_x
_atom_site_fract_y
_atom_site_fract_z
_atom_site_occupancy
La1 La 0.000 0.000 0.000 1
La2 La 0.000 0.500 0.500 1
Dy1 Dy 0.500 0.000 0.500 1
Tm1 Tm 0.500 0.500 0.000 1
As1 As 0.265 0.500 0.253 1
As2 As 0.266 0.000 0.757 1
As3 As 0.734 0.000 0.243 1
As4 As 0.735 0.500 0.747 1
```

- SG = P2/m, No. 10

=====

# 9
La2Dy3TmAs6: relaxed, GGA-PBE.

Geometry as CIF:
```
data_La2Dy3TmAs6
_symmetry_space_group_name_H-M 'P 1'
_symmetry_Int_Tables_number 1
_symmetry_space_group_name_Hall 'P 1'
_cell_length_a 9.385
_cell_length_b 9.385
_cell_length_c 8.399
_cell_angle_alpha 102.96
_cell_angle_beta 102.96
_cell_angle_gamma 25.87
loop_
_atom_site_label
_atom_site_type_symbol
_atom_site_fract_x
_atom_site_fract_y
_atom_site_fract_z
_atom_site_occupancy
La1 La 0.165 0.165 0.331 1
La2 La 0.835 0.835 0.669 1
Dy1 Dy 0.167 0.167 0.835 1
Dy2 Dy 0.500 0.500 0.500 1
Dy3 Dy 0.833 0.833 0.165 1
Tm1 Tm 0.500 0.500 0.000 1
As1 As 0.004 0.004 0.755 1
As2 As 0.335 0.335 0.927 1
As3 As 0.336 0.336 0.409 1
As4 As 0.664 0.664 0.591 1
As5 As 0.665 0.665 0.073 1
As6 As 0.996 0.996 0.245 1
```

- SG = C2/m, No. 12

=====

# 10
La2DyUAs4: relaxed, GGA-PBE.

Geometry as CIF:
```
data_La2DyUAs4
_symmetry_space_group_name_H-M 'P 1'
_symmetry_Int_Tables_number 1
_symmetry_space_group_name_Hall 'P 1'
_cell_length_a 7.314
_cell_length_b 4.217
_cell_length_c 7.357
_cell_angle_alpha 90.00
_cell_angle_beta 109.17
_cell_angle_gamma 90.00
loop_
_atom_site_label
_atom_site_type_symbol
_atom_site_fract_x
_atom_site_fract_y
_atom_site_fract_z
_atom_site_occupancy
La1 La 0.000 0.000 0.000 1
La2 La 0.500 0.500 0.000 1
Dy1 Dy 0.000 0.500 0.500 1
U1 U 0.500 0.000 0.500 1
As1 As 0.249 0.000 0.732 1
As2 As 0.259 0.500 0.269 1
As3 As 0.741 0.500 0.731 1
As4 As 0.751 0.000 0.268 1
```

- SG = P2/m, No. 10

=====

# 11
LaDy2UAs4: relaxed, GGA-PBE.

Geometry as CIF:
```
data_LaDy2UAs4
_symmetry_space_group_name_H-M 'P 1'
_symmetry_Int_Tables_number 1
_symmetry_space_group_name_Hall 'P 1'
_cell_length_a 7.221
_cell_length_b 4.159
_cell_length_c 7.237
_cell_angle_alpha 90.00
_cell_angle_beta 109.21
_cell_angle_gamma 90.00
loop_
_atom_site_label
_atom_site_type_symbol
_atom_site_fract_x
_atom_site_fract_y
_atom_site_fract_z
_atom_site_occupancy
La1 La 0.000 0.000 0.000 1
Dy1 Dy 0.500 0.000 0.500 1
Dy2 Dy 0.500 0.500 0.000 1
U1 U 0.000 0.500 0.500 1
As1 As 0.252 0.000 0.743 1
As2 As 0.256 0.500 0.263 1
As3 As 0.744 0.500 0.737 1
As4 As 0.748 0.000 0.257 1
```

- SG = P2/m, No. 10

=====

# 12
La3Dy2YAs6: relaxed, GGA-PBE.

Geometry as CIF:
```
data_La3Dy2YAs6
_symmetry_space_group_name_H-M 'P 1'
_symmetry_Int_Tables_number 1
_symmetry_space_group_name_Hall 'P 1'
_cell_length_a 7.363
_cell_length_b 7.363
_cell_length_c 7.353
_cell_angle_alpha 99.60
_cell_angle_beta 99.60
_cell_angle_gamma 120.00
loop_
_atom_site_label
_atom_site_type_symbol
_atom_site_fract_x
_atom_site_fract_y
_atom_site_fract_z
_atom_site_occupancy
La1 La 0.000 0.000 0.000 1
La2 La 0.333 0.667 0.000 1
La3 La 0.667 0.333 0.000 1
Dy1 Dy 0.167 0.833 0.500 1
Dy2 Dy 0.833 0.167 0.500 1
Y1 Y 0.500 0.500 0.500 1
As1 As 0.087 0.421 0.263 1
As2 As 0.245 0.245 0.737 1
As3 As 0.421 0.087 0.263 1
As4 As 0.579 0.913 0.737 1
As5 As 0.755 0.755 0.263 1
As6 As 0.913 0.579 0.737 1
```

- SG = C2/m, No. 12

=====

DFT formation energy for the records above, in order: -12.19; -17.69; -18.54; -18.12; -12.32; -12.09; -18.45; -12.27; -18.28; -10.71; -10.57; -18.59 eV/f.u.
E for the records above, in order: -6.54; -6.83; -6.49; -6.63; -6.60; -6.15; -6.23; -6.22; -6.19; -6.88; -6.82; -6.41 eV per atom
M_tot for the records above, in order: 0.00; 0.00; 0.00; 0.00; 0.00; 0.00; 0.00; 0.00; 0.00; 2.29; 2.40; 0.00 μB/f.u.